Below is a relaxed structure of Dy8Ho4Mg, with properties calculated at the PBE level.

Cell: 10.382 10.382 10.382 Å, 39.92 39.92 39.92°
Fractional coordinates of all 13 atoms:
Dy (0.213, 0.213, 0.213)
Dy (0.220, 0.746, 0.746)
Dy (0.254, 0.254, 0.780)
Dy (0.254, 0.780, 0.254)
Dy (0.746, 0.220, 0.746)
Dy (0.746, 0.746, 0.220)
Dy (0.780, 0.254, 0.254)
Dy (0.787, 0.787, 0.787)
Ho (0.000, 0.000, 0.000)
Ho (0.000, 0.500, 0.500)
Ho (0.500, 0.000, 0.500)
Ho (0.500, 0.500, 0.000)
Mg (0.500, 0.500, 0.500)

Summary:
Total energy, eV per formula unit: -54.190
Symmetry: R-3m (166)
DFT formation energy, eV/atom: 0.1948
Size of the total moment, μB per formula unit: 0.0
Calculated volume, A^3/atom: 31.9